{
  "formula": "Na2Zn2B",
  "functional": "PBE-GGA",
  "state": "optimized geometry",
  "lattice": [[5.8515, 0.0000, 0.0000], [0.0000, 5.8515, 0.0000], [0.0000, 0.0000, 5.4949]],
  "species": ["Na", "Na", "Na", "Na", "Zn", "Zn", "Zn", "Zn", "B", "B"],
  "fractional_positions": [[0.1816, 0.3184, 0.0000], [0.3184, 0.8184, 0.0000], [0.6816, 0.1816, 0.0000], [0.8184, 0.6816, 0.0000], [0.2112, 0.7112, 0.5000], [0.2888, 0.2112, 0.5000], [0.7112, 0.7888, 0.5000], [0.7888, 0.2888, 0.5000], [0.0000, 0.0000, 0.5000], [0.5000, 0.5000, 0.5000]],
  "delta_e_f_ev_per_atom": 0.34
}

---

{
  "formula": "Na2Cu2Sb3",
  "functional": "PBE-GGA",
  "state": "optimized geometry",
  "lattice": [[2.3429, -10.1236, 0.0000], [2.3429, 10.1236, 0.0000], [0.0000, 0.0000, 6.9371]],
  "species": ["Na", "Na", "Na", "Na", "Cu", "Cu", "Cu", "Cu", "Sb", "Sb", "Sb", "Sb", "Sb", "Sb"],
  "fractional_positions": [[0.0317, 0.9683, 0.7500], [0.1576, 0.8424, 0.2500], [0.8424, 0.1576, 0.7500], [0.9683, 0.0317, 0.2500], [0.2988, 0.7012, 0.0663], [0.2988, 0.7012, 0.4337], [0.7012, 0.2988, 0.5663], [0.7012, 0.2988, 0.9337], [0.2281, 0.7719, 0.7500], [0.4262, 0.5738, 0.5412], [0.4262, 0.5738, 0.9588], [0.5738, 0.4262, 0.0412], [0.5738, 0.4262, 0.4588], [0.7719, 0.2281, 0.2500]],
  "e_form_raw_ev_per_atom": -0.138
}